VASP calculation (PBE with a Hubbard U) on crystalline VHgN2F at its relaxed geometry.

Lattice parameters (Å, degrees): 3.906 3.906 3.986 90.00 90.00 90.00
Positions (direct):
V (0.000, 0.000, 0.000)
Hg (0.500, 0.500, 0.500)
N (0.000, 0.500, 0.000)
N (0.500, 0.000, 0.000)
F (0.000, 0.000, 0.500)

Symmetry: No. 123
E above lowest polymorph (meV per atom): 0
Final energy (eV per atom): -5.136


VASP calculation (PBE with a Hubbard U) on crystalline VHgN2F at its relaxed geometry.

Lattice parameters (Å, degrees): 4.172 4.172 4.593 90.00 90.00 90.00
Positions (direct):
V (0.000, 0.000, 0.000)
Hg (0.500, 0.500, 0.500)
N (0.000, 0.500, 0.500)
N (0.500, 0.000, 0.500)
F (0.500, 0.500, 0.000)

Symmetry: No. 123
E above lowest polymorph (meV per atom): 1217
Final energy (eV per atom): -3.919